1.
This record from the Alexandria database describes a relaxed Tb5CoHg2 crystal. The functional is PBE.

Geometry as CIF:
```
data_Tb5CoHg2
_chemical_formula_sum 'Tb20 Co4 Hg8'
_cell_length_a 5.2783
_cell_length_b 15.9828
_cell_length_c 12.3021
_cell_angle_alpha 90.00
_cell_angle_beta 90.00
_cell_angle_gamma 90.00
_symmetry_space_group_name_H-M 'C m c m'
_symmetry_Int_Tables_number 63
_symmetry_space_group_name_Hall '-C 2c 2'
loop_
_atom_site_label
_atom_site_type_symbol
_atom_site_fract_x
_atom_site_fract_y
_atom_site_fract_z
Tb1 Tb 0.0000 0.0765 0.1046
Tb2 Tb 0.0000 0.2972 0.7500
Tb3 Tb 0.0000 0.3042 0.0816
Co1 Co 0.0000 0.1946 0.2500
Hg1 Hg 0.0000 0.1133 0.6342
```

Values from the calculation:
Energy above the lowest structure with this stoichiometry in meV per atom: 290.7
Energy relative to the elements in eV/atom: -0.01
Density of states at the Fermi level in states/eV/f.u.: 7.81
Total magnetization in μB/atom: 0.0000

2.
This record from the Alexandria database describes a relaxed Cd2CuAs crystal. The functional is PBE.

Geometry as CIF:
```
data_Cd2CuAs
_chemical_formula_sum 'Cd8 Cu4 As4'
_cell_length_a 5.6023
_cell_length_b 5.6023
_cell_length_c 14.0105
_cell_angle_alpha 90.00
_cell_angle_beta 90.00
_cell_angle_gamma 90.00
_symmetry_space_group_name_H-M 'I -4 2 d'
_symmetry_Int_Tables_number 122
_symmetry_space_group_name_Hall 'I -4 2bw'
loop_
_atom_site_label
_atom_site_type_symbol
_atom_site_fract_x
_atom_site_fract_y
_atom_site_fract_z
Cd1 Cd 0.2471 0.2500 0.1250
Cu1 Cu 0.0000 0.0000 0.5000
As1 As 0.0000 0.0000 0.0000
```

Values from the calculation:
Energy relative to the elements in eV/atom: 0.38
Density of states at the Fermi level in states/eV/f.u.: 0.00
Total magnetization in μB/atom: 0.0000

3.
This record from the Alexandria database describes a relaxed MoRu2PtW crystal. The functional is PBE.

Geometry as CIF:
```
data_MoRu2PtW
_chemical_formula_sum 'Mo1 Ru2 Pt1 W1'
_cell_length_a 4.6180
_cell_length_b 4.6180
_cell_length_c 4.7115
_cell_angle_alpha 90.00
_cell_angle_beta 90.00
_cell_angle_gamma 90.00
_symmetry_space_group_name_H-M 'P 4/m m m'
_symmetry_Int_Tables_number 123
_symmetry_space_group_name_Hall '-P 4 2'
loop_
_atom_site_label
_atom_site_type_symbol
_atom_site_fract_x
_atom_site_fract_y
_atom_site_fract_z
Mo1 Mo 0.0000 0.0000 0.0000
Ru1 Ru 0.0000 0.5000 0.5000
Pt1 Pt 0.5000 0.5000 0.0000
W1 W 0.0000 0.0000 0.5000
```

Values from the calculation:
Energy relative to the elements in eV/atom: 1.76
Density of states at the Fermi level in states/eV/f.u.: 6.88
Total magnetization in μB/atom: 0.1660